Below is an optimized crystal structure of AcSmS2, with properties calculated at the GGA-PBE level.

a b c (Å): 4.1374 4.1374 7.2453
angles (deg): 106.67 106.67 60.19
Closest atoms and distances in Å follow each position.
Atoms (fractional coordinates):
Ac 0.0000 0.0000 0.0000  6 S 3.02
Sm 0.5000 0.5000 0.5000  6 S 2.86
S 0.2431 0.2431 0.7290  3 Sm 2.86, 3 Ac 3.02
S 0.7569 0.7569 0.2710  3 Sm 2.86, 3 Ac 3.02

Output
As for the crystal system: monoclinic. For the size of the total moment, the calculation gives 0.00 μB per cell. For the energy relative to the elements, uncorrected, the calculation gives -2007 meV per atom. As for the distance to the lowest polymorph of the same formula: 0.0 meV/atom.